# Pm2MnBeO6

An optimized crystal structure of Pm2MnBeO6 (PBE+U, Alexandria).

Calculated values
Total magnetization, Bohr magnetons per cell: 5.92
E_tot, eV per atom: -7.649
DOS at the Fermi energy, states/eV/f.u.: 0.00

abc: 5.3289 5.2904 7.5038
angles: 90.00 90.14 90.00
Closest atoms and distances in Å follow each position.
Sites, in units of the cell vectors:
1 Mn 0.5000 0.0000 0.0000  6 O 1.92-1.93
2 Pm 0.4934 0.4716 0.2509  6 O 2.35-2.52
3 O 0.2231 0.2277 0.0360  1 Be 1.89, 1 Mn 1.92
4 Pm 0.0066 0.9716 0.2491  6 O 2.35-2.52
5 O 0.2284 0.2217 0.4648  1 Be 1.88, 1 Mn 1.93
6 Pm 0.9934 0.0284 0.7509  6 O 2.35-2.52
7 O 0.2769 0.7277 0.4640  1 Be 1.89, 1 Mn 1.92
8 Be 0.0000 0.5000 0.0000  6 O 1.88-1.89
9 O 0.7231 0.2723 0.5360  1 Be 1.89, 1 Mn 1.92
10 Pm 0.5066 0.5284 0.7491  6 O 2.35-2.52
11 Be 0.5000 0.0000 0.5000  6 O 1.88-1.89
12 O 0.4337 0.9928 0.7474  1 Be 1.89, 1 Mn 1.93
13 O 0.9337 0.5072 0.2474  1 Be 1.89, 1 Mn 1.93
14 O 0.7284 0.2783 0.9648  1 Be 1.88, 1 Mn 1.93
15 O 0.7769 0.7723 0.9640  1 Be 1.89, 1 Mn 1.92
16 Mn 0.0000 0.5000 0.5000  6 O 1.92-1.93
17 O 0.7716 0.7783 0.5352  1 Be 1.88, 1 Mn 1.93
18 O 0.0663 0.4928 0.7526  1 Be 1.89, 1 Mn 1.93
19 O 0.2716 0.7217 0.0352  1 Be 1.88, 1 Mn 1.93
20 O 0.5663 0.0072 0.2526  1 Be 1.89, 1 Mn 1.93